A relaxed LiLuMg crystal, computed with PBE.

Properties
Density of states at the Fermi level: 2.76 states/eV per cell
Calculated volume: 24.8 A^3/atom
Formation energy: 0.086 eV/atom

Lattice parameters (Å, degrees): 3.3025 3.3025 7.8802 90.00 90.00 120.00
Fractional coordinates of all 3 atoms:
Lu1 0.3333 0.6667 0.6666
Li1 0.0000 0.0000 0.0119
Mg1 0.6667 0.3333 0.3215